(1)
First-principles (SCAN) data for a PBEsol-optimized structure of Be2InPb, as listed in the Alexandria database.

Cell lengths 3.730, 4.025, 4.883 Å; angles 90.00, 90.00, 90.00 degrees
Element x y z (fractional)
Be (0.000, 0.000, 0.000)
Be (0.000, 0.500, 0.500)
In (0.500, 0.000, 0.500)
Pb (0.500, 0.500, 0.000)

Computed properties:
energy of formation = 0.688 eV/atom

***

(2)
First-principles (SCAN) data for a PBEsol-optimized structure of ZnFe2Sb, as listed in the Alexandria database.

Cell lengths 4.169, 4.169, 4.169 Å; angles 60.00, 60.00, 60.00 degrees
Element x y z (fractional)
Zn (0.000, 0.000, 0.000)
Fe (0.250, 0.250, 0.250)
Fe (0.750, 0.750, 0.750)
Sb (0.500, 0.500, 0.500)

Computed properties:
formation energy from raw total energies = 344 meV/atom

***

(3)
First-principles (SCAN) data for a PBEsol-optimized structure of YZn2Ni2, as listed in the Alexandria database.

Cell lengths 5.940, 5.940, 5.940 Å; angles 142.50, 142.50, 54.08 degrees
Element x y z (fractional)
Y (0.000, 0.000, 0.000)
Zn (0.250, 0.750, 0.500)
Zn (0.750, 0.250, 0.500)
Ni (0.392, 0.392, 0.000)
Ni (0.608, 0.608, 0.000)

Computed properties:
energy of formation = -0.374 eV/atom

***

(4)
First-principles (SCAN) data for a PBEsol-optimized structure of RbNaP2Cl, as listed in the Alexandria database.

Cell lengths 6.235, 6.235, 5.936 Å; angles 90.00, 90.00, 90.00 degrees
Element x y z (fractional)
Rb (0.000, 0.000, 0.000)
Na (0.500, 0.500, 0.500)
P (0.000, 0.500, 0.000)
P (0.500, 0.000, 0.000)
Cl (0.000, 0.000, 0.500)

Computed properties:
formation energy from raw total energies = 508 meV/atom

***

Energy
In order: -28.781 -21.415 -17.818 -10.238
Unit: eV/atom
Total magnetic moment
In order: 0.0 0.0 0.0 5.0
Unit: μB/f.u.